Entry i
Below is a relaxed TaZnC3 crystal, with properties calculated at the PBE-GGA level.

Geometry as extended XYZ:
```
5
Lattice="3.811 0.000 0.000 0.000 3.811 0.000 0.000 0.000 3.811" Properties=species:S:1:pos:R:3 pbc="T T T"
Ta 0.000 0.000 0.000
Zn 1.906 1.906 1.906
C 0.000 1.906 1.906
C 1.906 0.000 1.906
C 1.906 1.906 0.000
```

The value obtained for the magnetization is 0.0 Bohr magnetons per cell. The density of states at the Fermi level comes out at 3.23 states/eV/cell.



Entry ii
Below is a relaxed TaZnC3 crystal, with properties calculated at the PBE-GGA level.

Geometry as extended XYZ:
```
5
Lattice="4.203 0.000 0.000 0.000 4.203 0.000 0.000 0.000 4.203" Properties=species:S:1:pos:R:3 pbc="T T T"
Ta 0.000 0.000 0.000
Zn 2.101 2.101 2.101
C 0.000 0.000 2.101
C 0.000 2.101 0.000
C 2.101 0.000 0.000
```

The value obtained for the magnetization is 0.0 Bohr magnetons per cell. The density of states at the Fermi level comes out at 3.26 states/eV/cell.



Which is most stable? The ranking, best first, is entry ii, entry i.